Entry from Alexandria: a relaxed structure of ErPaCo2O8 (GGA+U).

The total energy comes out at -7.41 eV/atom. As for the theoretical density: 6.67 Mg/m³. The volume comes out at 320.87 Å³ per cell.

It has space group I-4m2 (No. 119), with a = 7.0532 Å, b = 7.0532 Å, c = 6.4499 Å, α = 90.00°, β = 90.00° and γ = 90.00°. The distinct sites, in fractional coordinates, are Er at (0.0000, 0.0000, 0.0000), Pa at (0.0000, 0.5000, 0.7500), Co at (0.0000, 0.0000, 0.5000), Co at (0.0000, 0.5000, 0.2500), O at (0.0000, 0.1868, 0.6885) and O at (0.0000, 0.3246, 0.0566).